ErNp2NiS5 | PBE-GGA | optimized geometry

Lattice parameters (Å, degrees): 3.7283 8.3363 11.5913 90.00 90.00 102.92
Last column: magnetic moment on the atom in μB.
Fractional coordinates of all 18 atoms:
Er  0.8223  0.6447  0.5270  0.03
Er  0.1777  0.3553  0.0270  0.03
Np  0.8927  0.7855  0.8500  3.72
Np  0.1173  0.2346  0.6960  3.73
Np  0.1073  0.2145  0.3500  3.72
Np  0.8827  0.7654  0.1960  3.73
Ni  0.5520  0.1041  0.9178  -0.43
Ni  0.4480  0.8959  0.4178  -0.43
S  0.3439  0.6878  0.0210  -0.09
S  0.6839  0.3679  0.8573  -0.07
S  0.4957  0.9914  0.7470  -0.14
S  0.3031  0.6063  0.6940  -0.07
S  0.9877  0.9753  0.5138  -0.11
S  0.6561  0.3122  0.5210  -0.09
S  0.3161  0.6321  0.3573  -0.07
S  0.5043  0.0086  0.2470  -0.14
S  0.6969  0.3937  0.1940  -0.07
S  0.0123  0.0247  0.0138  -0.11

Output
Electronic total energy: -69.60 eV/f.u.
Formation energy without anion corrections: -1415 meV per atom